No. 1
Below is BeFeHg2 after structural relaxation, with properties calculated at the PBE level.

- calculated formation energy (eV/atom) = 0.346
- uncorrected energy (eV per atom) = -2.8517

The structure in CIF format:
```
data_BeFeHg2
_chemical_formula_sum 'Be1 Fe1 Hg2'
_cell_length_a 3.021
_cell_length_b 3.034
_cell_length_c 7.099
_cell_angle_alpha 90.00
_cell_angle_beta 90.00
_cell_angle_gamma 90.00
_symmetry_space_group_name_H-M 'P m m 2'
_symmetry_Int_Tables_number 25
_symmetry_space_group_name_Hall 'P 2 -2'
loop_
_atom_site_label
_atom_site_type_symbol
_atom_site_fract_x
_atom_site_fract_y
_atom_site_fract_z
_atom_site_occupancy
Be1 Be 0.000 0.000 0.000 1
Fe1 Fe 0.500 0.500 0.104 1
Hg1 Hg 0.000 0.000 0.372 1
Hg2 Hg 0.500 0.500 0.721 1
```

No. 2
Below is MnCrH4 after structural relaxation, with properties calculated at the PBE level.

- energy above the most stable polymorph in this dataset (meV per atom) = 128
- uncorrected energy (eV per atom) = -5.2219

The structure in CIF format:
```
data_MnCrH4
_chemical_formula_sum 'Mn4 Cr4 H16'
_cell_length_a 5.491
_cell_length_b 5.491
_cell_length_c 5.496
_cell_angle_alpha 90.00
_cell_angle_beta 90.00
_cell_angle_gamma 90.00
_symmetry_space_group_name_H-M 'I 41 m d'
_symmetry_Int_Tables_number 109
_symmetry_space_group_name_Hall 'I 4bw -2'
loop_
_atom_site_label
_atom_site_type_symbol
_atom_site_fract_x
_atom_site_fract_y
_atom_site_fract_z
_atom_site_occupancy
Mn1 Mn 0.000 0.000 0.000 1
Cr1 Cr 0.000 0.000 0.499 1
H1 H 0.000 0.186 0.753 1
H2 H 0.000 0.188 0.245 1
```

No. 3
Below is Pr2Mg6Zn3 after structural relaxation, with properties calculated at the PBE level.

- calculated formation energy (eV/atom) = -0.117
- uncorrected energy (eV per atom) = -2.2032

The structure in CIF format:
```
data_Pr2Mg6Zn3
_chemical_formula_sum 'Pr2 Mg6 Zn3'
_cell_length_a 8.3657
_cell_length_b 8.3657
_cell_length_c 4.3549
_cell_angle_alpha 90.00
_cell_angle_beta 90.00
_cell_angle_gamma 120.00
_symmetry_space_group_name_H-M 'P -6 2 m'
_symmetry_Int_Tables_number 189
_symmetry_space_group_name_Hall 'P -6 -2'
loop_
_atom_site_label
_atom_site_type_symbol
_atom_site_fract_x
_atom_site_fract_y
_atom_site_fract_z
_atom_site_occupancy
Pr1 Pr 0.3333 0.6667 0.0000 1
Mg1 Mg 0.0000 0.2076 0.0000 1
Mg2 Mg 0.0000 0.7097 0.5000 1
Zn1 Zn 0.0000 0.3925 0.5000 1
```

No. 4
Below is BaLaTc2Sn after structural relaxation, with properties calculated at the PBE level.

- calculated formation energy (eV/atom) = 1.141
- uncorrected energy (eV per atom) = -5.1763

The structure in CIF format:
```
data_BaLaTc2Sn
_chemical_formula_sum 'Ba1 La1 Tc2 Sn1'
_cell_length_a 5.021
_cell_length_b 5.021
_cell_length_c 6.131
_cell_angle_alpha 90.00
_cell_angle_beta 90.00
_cell_angle_gamma 90.00
_symmetry_space_group_name_H-M 'P 4/m m m'
_symmetry_Int_Tables_number 123
_symmetry_space_group_name_Hall '-P 4 2'
loop_
_atom_site_label
_atom_site_type_symbol
_atom_site_fract_x
_atom_site_fract_y
_atom_site_fract_z
_atom_site_occupancy
Ba1 Ba 0.000 0.000 0.000 1
La1 La 0.500 0.500 0.500 1
Tc1 Tc 0.000 0.500 0.500 1
Sn1 Sn 0.500 0.500 0.000 1
```

Which of these has the highest uncorrected energy?
Pr2Mg6Zn3

Among the records above, which one has the lowest uncorrected energy?
MnCrH4

uncorrected energy of number 3 (Pr2Mg6Zn3)?
-2.2032 eV per atom

Look up the uncorrected energy of the fourth one.
-5.1763 eV per atom